Entry 1:
! NbNiRh | the Alexandria database | GGA-PBE | relaxed; values from VASP
&SYSTEM
  ibrav = 0, nat = 3, ntyp = 3
/
ATOMIC_SPECIES
Nb 92.91 Nb.upf
Ni 58.69 Ni.upf
Rh 102.91 Rh.upf
CELL_PARAMETERS angstrom
-1.620 1.620 4.169
1.620 -1.620 4.169
1.620 1.620 -4.169
ATOMIC_POSITIONS angstrom
Nb 0.000 0.000 0.000
Ni 0.000 0.000 5.461
Rh 0.000 0.000 2.751
! Magnetic moment (μB/f.u.): 0.00
! Density of states at the Fermi level (states/eV per cell): 1.64
! Symmetry: I4mm, No. 107
! E (eV per atom): -8.06


Entry 2:
! NbNi2Rh | the Alexandria database | GGA-PBE | relaxed; values from VASP
&SYSTEM
  ibrav = 0, nat = 4, ntyp = 3
/
ATOMIC_SPECIES
Nb 92.91 Nb.upf
Ni 58.69 Ni.upf
Rh 102.91 Rh.upf
CELL_PARAMETERS angstrom
0.000 2.998 2.998
2.998 0.000 2.998
2.998 2.998 0.000
ATOMIC_POSITIONS angstrom
Nb 0.000 0.000 0.000
Ni 1.499 1.499 1.499
Ni 4.497 4.497 4.497
Rh 2.998 2.998 2.998
! Magnetic moment (μB/f.u.): 0.00
! Density of states at the Fermi level (states/eV per cell): 3.52
! Symmetry: Fm-3m, No. 225
! E (eV per atom): -7.41